#i
Ga2BO: relaxed, GGA-PBE.

crystal system = tetragonal
calculated volume = 222 Å³/cell

```
data_Ga2BO
_chemical_formula_sum 'Ga8 B4 O4'
_cell_length_a 4.8331
_cell_length_b 4.8331
_cell_length_c 9.4852
_cell_angle_alpha 90.00
_cell_angle_beta 90.00
_cell_angle_gamma 90.00
_space_group_name_H-M_alt 'I -4 2 d'
_space_group_IT_number 122
_space_group_name_Hall 'I -4 2bw'
loop_
_atom_site_label
_atom_site_type_symbol
_atom_site_fract_x
_atom_site_fract_y
_atom_site_fract_z
Ga1 Ga 0.2460 0.2500 0.1250
B1 B 0.0000 0.0000 0.5000
O1 O 0.0000 0.0000 0.0000
```

#ii
Ga2BO: relaxed, GGA-PBE.

crystal system = cubic
calculated volume = 188 Å³/cell

```
data_Ga2BO
_chemical_formula_sum 'Ga8 B4 O4'
_cell_length_a 5.7301
_cell_length_b 5.7301
_cell_length_c 5.7301
_cell_angle_alpha 90.00
_cell_angle_beta 90.00
_cell_angle_gamma 90.00
_space_group_name_H-M_alt 'F m -3 m'
_space_group_IT_number 225
_space_group_name_Hall '-F 4 2 3'
loop_
_atom_site_label
_atom_site_type_symbol
_atom_site_fract_x
_atom_site_fract_y
_atom_site_fract_z
Ga1 Ga 0.2500 0.2500 0.2500
B1 B 0.0000 0.0000 0.0000
O1 O 0.0000 0.0000 0.5000
```

Q: Which of them is the most stable? A: #i.

#i
GaB2O: relaxed, GGA-PBE.

crystal system = tetragonal
calculated volume = 162 Å³/cell

```
data_GaB2O
_chemical_formula_sum 'Ga4 B8 O4'
_cell_length_a 4.2626
_cell_length_b 4.2626
_cell_length_c 8.9196
_cell_angle_alpha 90.00
_cell_angle_beta 90.00
_cell_angle_gamma 90.00
_space_group_name_H-M_alt 'I -4 2 d'
_space_group_IT_number 122
_space_group_name_Hall 'I -4 2bw'
loop_
_atom_site_label
_atom_site_type_symbol
_atom_site_fract_x
_atom_site_fract_y
_atom_site_fract_z
Ga1 Ga 0.0000 0.0000 0.0000
B1 B 0.1570 0.2500 0.6250
O1 O 0.0000 0.0000 0.5000
```

#ii
GaB2O: relaxed, GGA-PBE.

crystal system = cubic
calculated volume = 164 Å³/cell

```
data_GaB2O
_chemical_formula_sum 'Ga4 B8 O4'
_cell_length_a 5.4751
_cell_length_b 5.4751
_cell_length_c 5.4751
_cell_angle_alpha 90.00
_cell_angle_beta 90.00
_cell_angle_gamma 90.00
_space_group_name_H-M_alt 'F m -3 m'
_space_group_IT_number 225
_space_group_name_Hall '-F 4 2 3'
loop_
_atom_site_label
_atom_site_type_symbol
_atom_site_fract_x
_atom_site_fract_y
_atom_site_fract_z
Ga1 Ga 0.0000 0.0000 0.0000
B1 B 0.2500 0.2500 0.2500
O1 O 0.0000 0.0000 0.5000
```

Q: Which of them is the most stable? A: #i.